(1)
Crystalline U2TcPd at its relaxed geometry, computed with PBE.

Cell lengths 3.159, 3.159, 7.885 Å; angles 90.00, 90.00, 90.00 degrees
Space group P4/mmm (No. 123)
Symmetry-distinct sites (fractional):
U1 0.000 0.000 0.235
Tc1 0.500 0.500 0.000
Pd1 0.500 0.500 0.500

E_form = -0.2 eV per formula unit
DOS at the Fermi energy = 8.30 states/eV/f.u.



(2)
Crystalline UTcPd at its relaxed geometry, computed with PBE.

Cell lengths 3.431, 3.431, 9.363 Å; angles 90.00, 90.00, 90.00 degrees
Space group I4mm (No. 107)
Symmetry-distinct sites (fractional):
U1 0.000 0.000 0.000
Tc1 0.000 0.000 0.381
Pd1 0.000 0.000 0.689

E_form = -0.1 eV per formula unit
DOS at the Fermi energy = 4.00 states/eV/f.u.



(3)
Crystalline VTc2Pd at its relaxed geometry, computed with PBE.

Cell lengths 6.154, 6.154, 6.154 Å; angles 90.00, 90.00, 90.00 degrees
Space group Fm-3m (No. 225)
Symmetry-distinct sites (fractional):
V1 0.000 0.000 0.000
Tc1 0.250 0.250 0.250
Pd1 0.000 0.000 0.500

Energy relative to the lowest polymorph listed for this composition = 0.257 eV/atom
E_form = 0.7 eV per formula unit
DOS at the Fermi energy = 6.38 states/eV/f.u.



(4)
Crystalline V2TcPd at its relaxed geometry, computed with PBE.

Cell lengths 3.090, 3.090, 5.963 Å; angles 90.00, 90.00, 90.00 degrees
Space group P4/mmm (No. 123)
Symmetry-distinct sites (fractional):
V1 0.000 0.000 0.233
Tc1 0.500 0.500 0.000
Pd1 0.500 0.500 0.500

E_form = -0.7 eV per formula unit
DOS at the Fermi energy = 5.29 states/eV/f.u.



(5)
Crystalline VTc2Pd at its relaxed geometry, computed with PBE.

Cell lengths 3.731, 3.731, 18.367 Å; angles 90.00, 90.00, 90.00 degrees
Space group I-42d (No. 122)
Symmetry-distinct sites (fractional):
V1 0.000 0.000 0.000
Tc1 0.207 0.250 0.125
Pd1 0.000 0.000 0.500

Energy relative to the lowest polymorph listed for this composition = 0.554 eV/atom
E_form = 1.9 eV per formula unit
DOS at the Fermi energy = 4.22 states/eV/f.u.



(6)
Crystalline V2TcPd at its relaxed geometry, computed with PBE.

Cell lengths 6.748, 6.748, 5.383 Å; angles 90.00, 90.00, 90.00 degrees
Space group I-42d (No. 122)
Symmetry-distinct sites (fractional):
V1 0.237 0.250 0.125
Tc1 0.000 0.000 0.000
Pd1 0.000 0.000 0.500

E_form = 1.5 eV per formula unit
DOS at the Fermi energy = 6.47 states/eV/f.u.